1.
Entry from the Alexandria database: a relaxed BaNdMg crystal (PBE).

Calculated values
E_tot = -8.2 eV/f.u.
polymorph energy (0 for the lowest one) = 0.023 eV/atom
DFT formation energy = 44 meV per atom

abc: 7.6042 7.6042 7.6042
angles: 148.95 148.95 44.49
Sites, in units of the cell vectors:
Ba 0.0000 0.0000 0.0000
Nd 0.2884 0.2884 0.0000
Mg 0.6691 0.6691 0.0000

=====

2.
Entry from the Alexandria database: a relaxed Ce3HoEr2Se6 crystal (PBE).

Calculated values
E_tot = -73.8 eV/f.u.
uncorrected formation energy = -1.779 eV/atom

abc: 7.0772 7.0772 7.2572
angles: 99.35 99.35 120.05
Sites, in units of the cell vectors:
Ce 0.0000 0.0000 0.0000
Ce 0.3338 0.6662 0.0000
Ce 0.6662 0.3338 0.0000
Ho 0.5000 0.5000 0.5000
Er 0.1667 0.8333 0.5000
Er 0.8333 0.1667 0.5000
Se 0.0873 0.4217 0.2649
Se 0.2437 0.2437 0.7346
Se 0.4217 0.0873 0.2649
Se 0.5783 0.9127 0.7351
Se 0.7563 0.7563 0.2654
Se 0.9127 0.5783 0.7351

=====

3.
Entry from the Alexandria database: a relaxed Rb3DyAg2I9 crystal (PBE).

Calculated values
E_tot = -41.9 eV/f.u.
uncorrected formation energy = -0.984 eV/atom

abc: 8.4267 8.4267 10.5086
angles: 90.00 90.00 120.00
Sites, in units of the cell vectors:
Rb 0.0000 0.0000 0.0000
Rb 0.3333 0.6667 0.6862
Rb 0.6667 0.3333 0.3138
Dy 0.0000 0.0000 0.5000
Ag 0.3333 0.6667 0.1527
Ag 0.6667 0.3333 0.8473
I 0.0000 0.5000 0.0000
I 0.1683 0.3366 0.3337
I 0.1683 0.8317 0.3337
I 0.3366 0.1683 0.6663
I 0.5000 0.0000 0.0000
I 0.5000 0.5000 0.0000
I 0.6634 0.8317 0.3337
I 0.8317 0.1683 0.6663
I 0.8317 0.6634 0.6663

=====

4.
Entry from the Alexandria database: a relaxed TaAgHg crystal (PBE).

Calculated values
E_tot = -14.0 eV/f.u.
polymorph energy (0 for the lowest one) = 0.030 eV/atom
DFT formation energy = 337 meV per atom

abc: 2.9807 2.9807 7.4482
angles: 90.00 90.00 120.00
Sites, in units of the cell vectors:
Ta 0.0000 0.0000 0.0000
Ag 0.6667 0.3333 0.3219
Hg 0.3333 0.6667 0.6591

=====

5.
Entry from the Alexandria database: a relaxed CaCd2P crystal (PBE).

Calculated values
E_tot = -10.6 eV/f.u.
DFT formation energy = -349 meV per atom

abc: 7.0387 7.0387 7.0387
angles: 34.91 34.91 34.91
Sites, in units of the cell vectors:
Ca 0.0000 0.0000 0.0000
Cd 0.2204 0.2204 0.2204
Cd 0.4647 0.4647 0.4647
P 0.7418 0.7418 0.7418

=====

6.
Entry from the Alexandria database: a relaxed Na3CuAg4Br8 crystal (PBE).

Calculated values
E_tot = -44.6 eV/f.u.
uncorrected formation energy = -0.735 eV/atom

abc: 8.3165 8.3165 8.2571
angles: 119.06 119.06 60.59
Sites, in units of the cell vectors:
Na 0.0000 0.0000 0.0000
Na 0.0000 0.5000 0.5000
Na 0.5000 0.0000 0.5000
Cu 0.5000 0.5000 0.0000
Ag 0.0000 0.0000 0.5000
Ag 0.0000 0.5000 0.0000
Ag 0.5000 0.0000 0.0000
Ag 0.5000 0.5000 0.5000
Br 0.2216 0.2216 0.7278
Br 0.2510 0.2510 0.2450
Br 0.2782 0.7149 0.2224
Br 0.2851 0.7218 0.7776
Br 0.7149 0.2782 0.2224
Br 0.7218 0.2851 0.7776
Br 0.7490 0.7490 0.7550
Br 0.7784 0.7784 0.2722

=====

7.
Entry from the Alexandria database: a relaxed Li2Zn2Au crystal (PBE).

Calculated values
E_tot = -11.4 eV/f.u.
polymorph energy (0 for the lowest one) = 0.017 eV/atom
DFT formation energy = -354 meV per atom

abc: 4.7365 4.7365 8.7023
angles: 91.63 91.63 50.46
Sites, in units of the cell vectors:
Li 0.0633 0.0633 0.1503
Li 0.1584 0.1584 0.4477
Li 0.8416 0.8416 0.5523
Li 0.9367 0.9367 0.8497
Zn 0.3558 0.3558 0.0489
Zn 0.4627 0.4627 0.3486
Zn 0.5373 0.5373 0.6514
Zn 0.6442 0.6442 0.9511
Au 0.2336 0.2336 0.7517
Au 0.7664 0.7664 0.2483

=====

8.
Entry from the Alexandria database: a relaxed GeSeN2O crystal (PBE).

Calculated values
E_tot = -20.1 eV/f.u.
uncorrected formation energy = 1.932 eV/atom

abc: 3.9715 3.9715 4.0032
angles: 90.00 90.00 90.00
Sites, in units of the cell vectors:
Ge 0.0000 0.0000 0.0000
Se 0.5000 0.5000 0.0000
N 0.0000 0.5000 0.5000
N 0.5000 0.0000 0.5000
O 0.5000 0.5000 0.5000

=====

9.
Entry from the Alexandria database: a relaxed Y3Rh4 crystal (PBE).

Calculated values
E_tot = -48.1 eV/f.u.
DFT formation energy = 100 meV per atom

abc: 6.2017 6.2017 4.5849
angles: 90.00 90.00 120.00
Sites, in units of the cell vectors:
Y 0.0000 0.5000 0.0000
Y 0.5000 0.0000 0.0000
Y 0.5000 0.5000 0.0000
Rh 0.0000 0.0000 0.2522
Rh 0.0000 0.0000 0.7478
Rh 0.3333 0.6667 0.5000
Rh 0.6667 0.3333 0.5000

=====

10.
Entry from the Alexandria database: a relaxed Pm2GaAg2 crystal (PBE).

Calculated values
E_tot = -19.3 eV/f.u.
polymorph energy (0 for the lowest one) = 0.140 eV/atom
DFT formation energy = -208 meV per atom

abc: 5.4710 5.4710 5.9263
angles: 95.46 95.46 47.89
Sites, in units of the cell vectors:
Pm 0.2093 0.2093 0.2233
Pm 0.7907 0.7907 0.7767
Ga 0.5000 0.5000 0.0000
Ag 0.0845 0.0845 0.7058
Ag 0.9155 0.9155 0.2942

=====

11.
Entry from the Alexandria database: a relaxed ReRh crystal (PBE).

Calculated values
E_tot = -20.0 eV/f.u.
polymorph energy (0 for the lowest one) = 0.098 eV/atom
DFT formation energy = -79 meV per atom

abc: 8.0554 8.0554 8.0554
angles: 151.98 151.76 40.20
Sites, in units of the cell vectors:
Re 0.3104 0.0604 0.2500
Re 0.4334 0.6834 0.7500
Re 0.5666 0.3166 0.2500
Re 0.6896 0.9396 0.7500
Rh 0.0603 0.8103 0.2500
Rh 0.1849 0.4349 0.7500
Rh 0.8151 0.5651 0.2500
Rh 0.9397 0.1897 0.7500

=====

12.
Entry from the Alexandria database: a relaxed Ac3Ga4Ni4 crystal (PBE).

Calculated values
E_tot = -52.9 eV/f.u.
polymorph energy (0 for the lowest one) = 0.000 eV/atom
DFT formation energy = -486 meV per atom

abc: 4.3068 4.4829 12.4795
angles: 97.19 99.71 90.64
Sites, in units of the cell vectors:
Ac 0.0000 0.0000 0.0000
Ac 0.3508 0.8727 0.6960
Ac 0.6492 0.1273 0.3040
Ga 0.2019 0.6557 0.4152
Ga 0.4477 0.4535 0.8928
Ga 0.5523 0.5465 0.1072
Ga 0.7981 0.3443 0.5848
Ni 0.1016 0.5761 0.2074
Ni 0.2545 0.1803 0.4966
Ni 0.7455 0.8197 0.5034
Ni 0.8984 0.4239 0.7926